# Pr7In2Sn2 PBE-GGA relaxed
data_Pr7In2Sn2
_cell_length_a 8.4459
_cell_length_b 11.6074
_cell_length_c 7.8506
_cell_angle_alpha 90.00
_cell_angle_beta 90.00
_cell_angle_gamma 90.00
_space_group_name_H-M_alt 'C m m m'
_space_group_IT_number 65
_space_group_name_Hall '-C 2 2'
loop_
_atom_site_label
_atom_site_type_symbol
_atom_site_fract_x
_atom_site_fract_y
_atom_site_fract_z
Pr1 Pr 0.0000 0.0000 0.0000
Pr2 Pr 0.0000 0.5000 0.2666
Pr3 Pr 0.2500 0.2500 0.2892
In1 In 0.1694 0.0000 0.5000
Sn1 Sn 0.0000 0.2878 0.0000
# volume	35.0	Å³ per atom
# VASP energy	-4.53	eV/atom
# DOS(E_F)	26.0	states/eV per cell
# DFT formation energy	-0.262	eV/atom
# mass density	6.272	Mg/m³



# Pr2InSn3 PBE-GGA relaxed
data_Pr2InSn3
_cell_length_a 13.7081
_cell_length_b 9.5622
_cell_length_c 5.8084
_cell_angle_alpha 90.00
_cell_angle_beta 90.00
_cell_angle_gamma 90.00
_space_group_name_H-M_alt 'C m c m'
_space_group_IT_number 63
_space_group_name_Hall '-C 2c 2'
loop_
_atom_site_label
_atom_site_type_symbol
_atom_site_fract_x
_atom_site_fract_y
_atom_site_fract_z
Pr1 Pr 0.1437 0.1917 0.2500
In1 In 0.0000 0.3739 0.7500
Sn1 Sn 0.0000 0.0753 0.7500
Sn2 Sn 0.1818 0.5000 0.0000
# volume	31.7	Å³ per atom
# VASP energy	-4.37	eV/atom
# DOS(E_F)	13.4	states/eV per cell
# DFT formation energy	-0.319	eV/atom
# mass density	6.567	Mg/m³



# PrIn3Sn3 PBE-GGA relaxed
data_PrIn3Sn3
_cell_length_a 10.8434
_cell_length_b 10.8767
_cell_length_c 6.8920
_cell_angle_alpha 90.00
_cell_angle_beta 90.00
_cell_angle_gamma 90.00
_space_group_name_H-M_alt 'C m m m'
_space_group_IT_number 65
_space_group_name_Hall '-C 2 2'
loop_
_atom_site_label
_atom_site_type_symbol
_atom_site_fract_x
_atom_site_fract_y
_atom_site_fract_z
Pr1 Pr 0.0000 0.2116 0.0000
In1 In 0.0000 0.2615 0.5000
In2 In 0.1543 0.0000 0.5000
In3 In 0.2425 0.0000 0.0000
Sn1 Sn 0.0000 0.5000 0.2333
Sn2 Sn 0.2500 0.2500 0.2734
# volume	29.0	Å³ per atom
# VASP energy	-3.71	eV/atom
# DOS(E_F)	14.8	states/eV per cell
# DFT formation energy	-0.136	eV/atom
# mass density	6.876	Mg/m³



# Pr6InSn2 PBE-GGA relaxed
data_Pr6InSn2
_cell_length_a 8.7396
_cell_length_b 8.7396
_cell_length_c 4.4263
_cell_angle_alpha 90.00
_cell_angle_beta 90.00
_cell_angle_gamma 120.00
_space_group_name_H-M_alt 'P -6 2 m'
_space_group_IT_number 189
_space_group_name_Hall 'P -6 -2'
loop_
_atom_site_label
_atom_site_type_symbol
_atom_site_fract_x
_atom_site_fract_y
_atom_site_fract_z
Pr1 Pr 0.0000 0.2724 0.0000
Pr2 Pr 0.0000 0.5953 0.5000
In1 In 0.0000 0.0000 0.5000
Sn1 Sn 0.3333 0.6667 0.0000
# volume	32.5	Å³ per atom
# VASP energy	-4.87	eV/atom
# DOS(E_F)	12.2	states/eV per cell
# DFT formation energy	-0.486	eV/atom
# mass density	6.792	Mg/m³



# Pr12In2Sn5 PBE-GGA relaxed
data_Pr12In2Sn5
_cell_length_a 18.2835
_cell_length_b 7.3646
_cell_length_c 10.4335
_cell_angle_alpha 90.00
_cell_angle_beta 103.05
_cell_angle_gamma 90.00
_space_group_name_H-M_alt 'C 1 2/m 1'
_space_group_IT_number 12
loop_
_space_group_symop_operation_xyz
'x,y,z'
'-x,-y,-z'
'-x,y,-z'
'x,-y,z'
'x+1/2,y+1/2,z'
'-x+1/2,-y+1/2,-z'
'-x+1/2,y+1/2,-z'
'x+1/2,-y+1/2,z'
loop_
_atom_site_label
_atom_site_type_symbol
_atom_site_fract_x
_atom_site_fract_y
_atom_site_fract_z
Pr1 Pr 0.0104 0.0000 0.2873
Pr2 Pr 0.0559 0.5000 0.8159
Pr3 Pr 0.1503 0.2500 0.5688
Pr4 Pr 0.1756 0.2449 0.1032
In1 In 0.0000 0.2013 0.0000
Sn1 Sn 0.0000 0.5000 0.5000
Sn2 Sn 0.1708 0.0000 0.8313
Sn3 Sn 0.2002 0.0000 0.3585
# volume	36.0	Å³ per atom
# VASP energy	-4.69	eV/atom
# DOS(E_F)	43.2	states/eV per cell
# DFT formation energy	-0.333	eV/atom
# mass density	6.101	Mg/m³



# Pr3In2Sn3 PBE-GGA relaxed
data_Pr3In2Sn3
_cell_length_a 4.6221
_cell_length_b 12.2169
_cell_length_c 16.3944
_cell_angle_alpha 90.00
_cell_angle_beta 90.00
_cell_angle_gamma 90.00
_space_group_name_H-M_alt 'C m c m'
_space_group_IT_number 63
_space_group_name_Hall '-C 2c 2'
loop_
_atom_site_label
_atom_site_type_symbol
_atom_site_fract_x
_atom_site_fract_y
_atom_site_fract_z
Pr1 Pr 0.0000 0.0552 0.1137
Pr2 Pr 0.0000 0.3371 0.2500
In1 In 0.0000 0.2293 0.6138
Sn1 Sn 0.0000 0.3834 0.0365
Sn2 Sn 0.0000 0.3955 0.7500
# volume	28.9	Å³ per atom
# VASP energy	-4.57	eV/atom
# DOS(E_F)	19.5	states/eV per cell
# DFT formation energy	-0.592	eV/atom
# mass density	7.236	Mg/m³